# GGA-PBE YLuZnAu, optimized geometry
# - ΔE_f: -0.61 eV/atom
# - Total magnetic moment: 0.000 μB per atom
data_YLuZnAu
_space_group_name_H-M_alt 'F -4 3 m'
_space_group_IT_number 216
_space_group_name_Hall 'F -4 2 3'
_cell_length_a 7.114
_cell_length_b 7.114
_cell_length_c 7.114
_cell_angle_alpha 90.00
_cell_angle_beta 90.00
_cell_angle_gamma 90.00
loop_
_atom_site_label
_atom_site_type_symbol
_atom_site_fract_x
_atom_site_fract_y
_atom_site_fract_z
Y1 Y 0.000 0.000 0.000
Lu1 Lu 0.000 0.000 0.500
Zn1 Zn 0.250 0.250 0.250
Au1 Au 0.250 0.250 0.750